Material: Tl3PbI6
Method: DFT, PBE-GGA
State: relaxed

Its total energy is -2.5509 eV/atom. Its density is 5.99 g/cm³. For the density of states at the Fermi level, the calculation gives 9.8 states/eV per cell. The calculation puts the energy relative to the elements, uncorrected at -540 meV/atom.

It has space group P2_1/c (No. 14), with a = 8.1309 Å, b = 8.9528 Å, c = 14.4907 Å, α = 90.00°, β = 123.71° and γ = 90.00°. The distinct sites, in fractional coordinates, are Tl at (0.0000, 0.0000, 0.0000), Tl at (0.2024, 0.1035, 0.7482), Pb at (0.5000, 0.0000, 0.5000), I at (0.1101, 0.1841, 0.4344), I at (0.2621, 0.6879, 0.4357) and I at (0.3924, 0.0405, 0.2511).